Record 1
The following is a PBE-GGA calculation of PtBr2F4 after structural relaxation, from Alexandria.

Results
The final energy is -3.15 eV/atom. As for the energy relative to the elements, uncorrected: -0.74 eV per atom. The calculation puts the magnetization at 0.517 μB/cell.

a b c (Å): 9.968 9.968 9.968
angles (deg): 156.59 156.59 33.35
Fractional positions:
Pt: 0.000 0.000 0.000
Br: 0.255 0.255 0.000
Br: 0.745 0.745 0.000
F: 0.000 0.500 0.500
F: 0.101 0.101 0.000
F: 0.500 0.000 0.500
F: 0.899 0.899 0.000

***

Record 2
The following is a PBE-GGA calculation of PtBrF2 after structural relaxation, from Alexandria.

Results
The calculation puts the energy above the most stable polymorph in this dataset at 776 meV per atom. The final energy is -2.90 eV/atom. As for the energy relative to the elements, uncorrected: -0.03 eV per atom. The calculation puts the magnetization at 0.783 μB/cell.

a b c (Å): 8.808 8.808 8.808
angles (deg): 19.17 19.17 19.17
Fractional positions:
Pt: 0.000 0.000 0.000
Br: 0.500 0.500 0.500
F: 0.426 0.426 0.426
F: 0.574 0.574 0.574

***

Record 3
The following is a PBE-GGA calculation of Pt3BrF after structural relaxation, from Alexandria.

Results
The calculation puts the energy above the most stable polymorph in this dataset at 35 meV per atom. The final energy is -3.19 eV/atom. As for the energy relative to the elements, uncorrected: 1.15 eV per atom. The calculation puts the magnetization at 0.000 μB/cell.

a b c (Å): 4.746 4.746 4.746
angles (deg): 90.00 90.00 90.00
Fractional positions:
Pt: 0.000 0.000 0.500
Pt: 0.000 0.500 0.000
Pt: 0.500 0.000 0.000
Br: 0.000 0.000 0.000
F: 0.500 0.500 0.500

***

Record 4
The following is a PBE-GGA calculation of PtBr2F after structural relaxation, from Alexandria.

Results
The calculation puts the energy above the most stable polymorph in this dataset at 127 meV per atom. The final energy is -2.65 eV/atom. As for the energy relative to the elements, uncorrected: 0.16 eV per atom. The calculation puts the magnetization at 0.000 μB/cell.

a b c (Å): 4.587 4.587 4.587
angles (deg): 60.00 60.00 60.00
Fractional positions:
Pt: 0.000 0.000 0.000
Br: 0.250 0.250 0.250
Br: 0.750 0.750 0.750
F: 0.500 0.500 0.500

***

Record 5
The following is a PBE-GGA calculation of PtBrF2 after structural relaxation, from Alexandria.

Results
The calculation puts the energy above the most stable polymorph in this dataset at 1070 meV per atom. The final energy is -2.60 eV/atom. As for the energy relative to the elements, uncorrected: 0.26 eV per atom. The calculation puts the magnetization at 1.350 μB/cell.

a b c (Å): 4.323 4.323 4.323
angles (deg): 60.00 60.00 60.00
Fractional positions:
Pt: 0.000 0.000 0.000
Br: 0.500 0.500 0.500
F: 0.250 0.250 0.250
F: 0.750 0.750 0.750

***

Record 6
The following is a PBE-GGA calculation of Pt3BrF after structural relaxation, from Alexandria.

Results
The calculation puts the energy above the most stable polymorph in this dataset at 0 meV per atom. The final energy is -3.22 eV/atom. As for the energy relative to the elements, uncorrected: 1.11 eV per atom. The calculation puts the magnetization at 1.593 μB/cell.

a b c (Å): 4.510 4.510 4.510
angles (deg): 90.00 90.00 90.00
Fractional positions:
Pt: 0.000 0.000 0.500
Pt: 0.000 0.500 0.000
Pt: 0.500 0.000 0.000
Br: 0.500 0.500 0.500
F: 0.000 0.000 0.000

***

Record 7
The following is a PBE-GGA calculation of PtBr2F after structural relaxation, from Alexandria.

Results
The calculation puts the energy above the most stable polymorph in this dataset at 66 meV per atom. The final energy is -2.72 eV/atom. As for the energy relative to the elements, uncorrected: 0.10 eV per atom. The calculation puts the magnetization at 0.000 μB/cell.

a b c (Å): 9.098 9.098 9.098
angles (deg): 19.45 19.45 19.45
Fractional positions:
Pt: 0.000 0.000 0.000
Br: 0.090 0.090 0.090
Br: 0.910 0.910 0.910
F: 0.500 0.500 0.500

***

Record 8
The following is a PBE-GGA calculation of PtBr2F after structural relaxation, from Alexandria.

Results
The calculation puts the energy above the most stable polymorph in this dataset at 0 meV per atom. The final energy is -2.78 eV/atom. As for the energy relative to the elements, uncorrected: 0.03 eV per atom. The calculation puts the magnetization at 0.000 μB/cell.

a b c (Å): 7.056 7.056 7.056
angles (deg): 128.03 128.03 76.58
Fractional positions:
Pt: 0.000 0.000 0.000
Pt: 0.750 0.250 0.500
Br: 0.082 0.625 0.957
Br: 0.375 0.332 0.457
Br: 0.668 0.125 0.043
Br: 0.875 0.918 0.543
F: 0.250 0.750 0.500
F: 0.500 0.500 0.000

***

Record 9
The following is a PBE-GGA calculation of PtBrF2 after structural relaxation, from Alexandria.

Results
The calculation puts the energy above the most stable polymorph in this dataset at 713 meV per atom. The final energy is -2.96 eV/atom. As for the energy relative to the elements, uncorrected: -0.10 eV per atom. The calculation puts the magnetization at 0.000 μB/cell.

a b c (Å): 8.447 8.447 8.447
angles (deg): 153.26 153.26 38.17
Fractional positions:
Pt: 0.000 0.000 0.000
Pt: 0.750 0.250 0.500
Br: 0.250 0.750 0.500
Br: 0.500 0.500 0.000
F: 0.041 0.625 0.916
F: 0.375 0.291 0.416
F: 0.709 0.125 0.084
F: 0.875 0.959 0.584

***

Record 10
The following is a PBE-GGA calculation of PtBr2F8 after structural relaxation, from Alexandria.

Results
The final energy is -3.19 eV/atom. As for the energy relative to the elements, uncorrected: -0.98 eV per atom. The calculation puts the magnetization at 0.858 μB/cell.

a b c (Å): 5.417 5.879 6.931
angles (deg): 114.86 102.29 90.24
Fractional positions:
Pt: 0.000 0.000 0.000
Br: 0.479 0.257 0.515
Br: 0.521 0.743 0.485
F: 0.062 0.129 0.800
F: 0.064 0.674 0.800
F: 0.362 0.082 0.161
F: 0.408 0.598 0.194
F: 0.592 0.402 0.806
F: 0.638 0.918 0.839
F: 0.936 0.326 0.200
F: 0.938 0.871 0.200

***

Record 11
The following is a PBE-GGA calculation of PtBrF2 after structural relaxation, from Alexandria.

Results
The calculation puts the energy above the most stable polymorph in this dataset at 277 meV per atom. The final energy is -3.40 eV/atom. As for the energy relative to the elements, uncorrected: -0.53 eV per atom. The calculation puts the magnetization at 0.660 μB/cell.

a b c (Å): 10.210 10.210 10.210
angles (deg): 16.07 16.07 16.07
Fractional positions:
Pt: 0.000 0.000 0.000
Br: 0.500 0.500 0.500
F: 0.063 0.063 0.063
F: 0.937 0.937 0.937

***

Record 12
The following is a PBE-GGA calculation of PtBrF2 after structural relaxation, from Alexandria.

Results
The calculation puts the energy above the most stable polymorph in this dataset at 0 meV per atom. The final energy is -3.67 eV/atom. As for the energy relative to the elements, uncorrected: -0.81 eV per atom. The calculation puts the magnetization at 0.000 μB/cell.

a b c (Å): 5.994 5.155 10.206
angles (deg): 90.00 90.00 90.00
Fractional positions:
Pt: 0.250 0.000 0.090
Pt: 0.250 0.500 0.410
Pt: 0.750 0.000 0.910
Pt: 0.750 0.500 0.590
Br: 0.038 0.250 0.250
Br: 0.462 0.750 0.250
Br: 0.538 0.250 0.750
Br: 0.962 0.750 0.750
F: 0.083 0.194 0.943
F: 0.083 0.306 0.557
F: 0.417 0.694 0.557
F: 0.417 0.806 0.943
F: 0.583 0.194 0.057
F: 0.583 0.306 0.443
F: 0.917 0.694 0.443
F: 0.917 0.806 0.057

***

Record 13
The following is a PBE-GGA calculation of PtBrF after structural relaxation, from Alexandria.

Results
The final energy is -3.57 eV/atom. As for the energy relative to the elements, uncorrected: -0.37 eV per atom. The calculation puts the magnetization at 0.000 μB/cell.

a b c (Å): 3.520 5.565 6.127
angles (deg): 90.00 90.35 90.00
Fractional positions:
Pt: 0.000 0.250 0.007
Pt: 0.000 0.750 0.993
Br: 0.497 0.750 0.722
Br: 0.503 0.250 0.278
F: 0.003 0.250 0.680
F: 0.997 0.750 0.320

***

Record 14
The following is a PBE-GGA calculation of Rb2PtBr2F4 after structural relaxation, from Alexandria.

Results
The final energy is -3.83 eV/atom. As for the energy relative to the elements, uncorrected: -1.74 eV per atom. The calculation puts the magnetization at 0.000 μB/cell.

a b c (Å): 6.554 6.554 6.554
angles (deg): 114.98 114.98 98.94
Fractional positions:
Rb: 0.250 0.750 0.500
Rb: 0.750 0.250 0.500
Pt: 0.000 0.000 0.000
Br: 0.291 0.291 0.000
Br: 0.709 0.709 0.000
F: 0.200 0.200 0.400
F: 0.200 0.800 0.000
F: 0.800 0.200 0.000
F: 0.800 0.800 0.600

***

Record 15
The following is a PBE-GGA calculation of Rb2PtBr6F after structural relaxation, from Alexandria.

Results
The final energy is -2.91 eV/atom. As for the energy relative to the elements, uncorrected: -0.93 eV per atom. The calculation puts the magnetization at 0.000 μB/cell.

a b c (Å): 7.670 7.670 7.670
angles (deg): 123.50 123.50 84.03
Fractional positions:
Rb: 0.250 0.750 0.500
Rb: 0.750 0.250 0.500
Pt: 0.000 0.000 0.000
Br: 0.220 0.220 0.000
Br: 0.246 0.246 0.492
Br: 0.246 0.754 0.000
Br: 0.754 0.246 0.000
Br: 0.754 0.754 0.508
Br: 0.780 0.780 0.000
F: 0.500 0.500 0.000

***

Record 16
The following is a PBE-GGA calculation of PtSeBr2F after structural relaxation, from Alexandria.

Results
The calculation puts the energy above the most stable polymorph in this dataset at 503 meV per atom. The final energy is -2.24 eV/atom. As for the energy relative to the elements, uncorrected: 0.71 eV per atom. The calculation puts the magnetization at 2.352 μB/cell.

a b c (Å): 5.511 5.511 3.829
angles (deg): 90.00 90.00 90.00
Fractional positions:
Pt: 0.000 0.000 0.000
Se: 0.500 0.500 0.000
Br: 0.000 0.500 0.500
Br: 0.500 0.000 0.500
F: 0.500 0.500 0.500

***

Record 17
The following is a PBE-GGA calculation of PtSeBr2F after structural relaxation, from Alexandria.

Results
The calculation puts the energy above the most stable polymorph in this dataset at 0 meV per atom. The final energy is -2.75 eV/atom. As for the energy relative to the elements, uncorrected: 0.20 eV per atom. The calculation puts the magnetization at 0.755 μB/cell.

a b c (Å): 5.229 5.229 4.747
angles (deg): 90.00 90.00 90.00
Fractional positions:
Pt: 0.000 0.000 0.000
Se: 0.000 0.000 0.500
Br: 0.000 0.500 0.000
Br: 0.500 0.000 0.000
F: 0.500 0.500 0.500

***

Record 18
The following is a PBE-GGA calculation of Si2PtBrF after structural relaxation, from Alexandria.

Results
The final energy is -4.26 eV/atom. As for the energy relative to the elements, uncorrected: -0.17 eV per atom. The calculation puts the magnetization at 0.000 μB/cell.

a b c (Å): 4.715 4.715 4.538
angles (deg): 90.00 90.00 90.00
Fractional positions:
Si: 0.000 0.500 0.000
Si: 0.500 0.000 0.000
Pt: 0.000 0.000 0.000
Br: 0.500 0.500 0.500
F: 0.000 0.000 0.500

***

Record 19
The following is a PBE-GGA calculation of SrPtBr2F after structural relaxation, from Alexandria.

Results
The final energy is -3.44 eV/atom. As for the energy relative to the elements, uncorrected: -0.85 eV per atom. The calculation puts the magnetization at 1.014 μB/cell.

a b c (Å): 5.943 5.943 4.451
angles (deg): 90.00 90.00 90.00
Fractional positions:
Sr: 0.000 0.000 0.000
Pt: 0.500 0.500 0.500
Br: 0.000 0.500 0.000
Br: 0.500 0.000 0.000
F: 0.000 0.000 0.500

***

Record 20
The following is a PBE-GGA calculation of YPtBr2F after structural relaxation, from Alexandria.

Results
The final energy is -4.23 eV/atom. As for the energy relative to the elements, uncorrected: -0.69 eV per atom. The calculation puts the magnetization at 0.000 μB/cell.

a b c (Å): 5.087 5.087 5.381
angles (deg): 90.00 90.00 90.00
Fractional positions:
Y: 0.000 0.000 0.000
Pt: 0.000 0.000 0.500
Br: 0.000 0.500 0.500
Br: 0.500 0.000 0.500
F: 0.500 0.500 0.000